SmTmCoOs: optimized geometry, PBE-GGA.

```
4
Lattice="4.8066 0.0000 0.0000 2.4033 4.1626 0.0000 2.4033 1.3875 3.9245" Properties=species:S:1:pos:R:3 pbc="T T T"
Co 7.2098 4.1626 2.9434
Tm 0.0000 0.0000 0.0000
Os 2.4033 1.3875 0.9811
Sm 4.8066 2.7751 1.9623
```

Values from the calculation:
Space-group type = No. 216


SmZrCoOs: optimized geometry, PBE-GGA.

```
4
Lattice="4.7356 0.0000 0.0000 2.3678 4.1011 0.0000 2.3678 1.3670 3.8666" Properties=species:S:1:pos:R:3 pbc="T T T"
Co 7.1034 4.1011 2.8999
Os 2.3678 1.3670 0.9666
Zr 4.7356 2.7341 1.9333
Sm 0.0000 0.0000 0.0000
```

Values from the calculation:
Space-group type = No. 216


Short version: ΔH_f (0 K) = -0.3, -0.6 eV per formula unit, in the order given.